Compound: LaCuC
Source: Alexandria
Functional: PBE
Structure: optimized geometry

Lattice parameters (Å, degrees): 6.5927 3.7575 5.4178 90.00 90.00 124.72
Fractional coordinates of all 6 atoms:
1 La 0.8678 0.5353 0.8306
2 La 0.3678 0.0313 0.3306
3 C 0.8677 0.5335 0.3306
4 C 0.3678 0.0332 0.8306
5 Cu 0.8676 0.0333 0.3311
6 Cu 0.3676 0.5331 0.8310

The density of states at the Fermi level is 3.5 states/eV/cell. Its calculated volume is 110.31 Å³/cell. The formation energy comes out at 0.024 eV/atom. The total moment comes out at 0.0 μB per cell. The crystal system is tetragonal.